1.
Computed, not measured: an optimized crystal structure of PmSnNO at the PBE-GGA level of DFT.

Structure (POSCAR):
```
PmSnNO
1.0
3.966 0.000 0.000
0.000 5.894 0.000
0.000 0.000 6.457
Pm Sn N O
2 2 2 2
Direct
0.000 0.199 0.000 Pm
0.000 0.801 0.500 Pm
0.500 0.282 0.463 Sn
0.500 0.718 0.963 Sn
0.500 0.397 0.097 N
0.500 0.603 0.597 N
0.000 0.146 0.657 O
0.000 0.854 0.157 O
```

polymorph energy (0 for the lowest one)	156	meV per atom
E	-53.917	eV per cell
crystal system	orthorhombic

=====

2.
Computed, not measured: an optimized crystal structure of LaPrB2Pd6Pt2 at the PBE-GGA level of DFT.

Structure (POSCAR):
```
LaPrB2Pd6Pt2
1.0
5.506 0.000 0.000
-2.753 4.768 0.000
0.000 0.000 7.671
La Pr B Pd Pt
1 1 2 6 2
Direct
0.000 0.000 0.000 La
0.000 0.000 0.500 Pr
0.333 0.667 0.500 B
0.667 0.333 0.500 B
0.000 0.500 0.304 Pd
0.000 0.500 0.696 Pd
0.500 0.000 0.304 Pd
0.500 0.000 0.696 Pd
0.500 0.500 0.304 Pd
0.500 0.500 0.696 Pd
0.333 0.667 0.000 Pt
0.667 0.333 0.000 Pt
```

polymorph energy (0 for the lowest one)	0	meV per atom
E	-74.251	eV per cell
crystal system	hexagonal

=====

3.
Computed, not measured: an optimized crystal structure of Hf2Al2Cu3Ni at the PBE-GGA level of DFT.

Structure (POSCAR):
```
Hf2Al2Cu3Ni
1.0
4.179 0.000 0.000
-2.090 3.619 0.000
0.000 0.000 7.937
Hf Al Cu Ni
2 2 3 1
Direct
0.000 0.000 0.000 Hf
0.333 0.667 0.507 Hf
0.667 0.333 0.248 Al
0.667 0.333 0.747 Al
0.000 0.000 0.342 Cu
0.333 0.667 0.163 Cu
0.333 0.667 0.840 Cu
0.000 0.000 0.671 Ni
```

E	-47.401	eV per cell
crystal system	trigonal

=====

4.
Computed, not measured: an optimized crystal structure of MgZnTeO at the PBE-GGA level of DFT.

Structure (POSCAR):
```
MgZnTeO
1.0
5.821 0.000 0.000
0.000 3.811 0.000
0.000 0.000 13.687
Mg Zn Te O
4 4 4 4
Direct
0.250 0.250 0.116 Mg
0.250 0.750 0.616 Mg
0.750 0.250 0.384 Mg
0.750 0.750 0.884 Mg
0.126 0.250 0.804 Zn
0.374 0.750 0.304 Zn
0.626 0.250 0.696 Zn
0.874 0.750 0.196 Zn
0.235 0.250 0.421 Te
0.265 0.750 0.921 Te
0.735 0.250 0.079 Te
0.765 0.750 0.579 Te
0.220 0.750 0.176 O
0.280 0.250 0.676 O
0.720 0.750 0.324 O
0.780 0.250 0.824 O
```

polymorph energy (0 for the lowest one)	92	meV per atom
E	-62.817	eV per cell
crystal system	orthorhombic

=====

5.
Computed, not measured: an optimized crystal structure of LuBeW at the PBE-GGA level of DFT.

Structure (POSCAR):
```
LuBeW
1.0
0.000 3.146 3.146
3.146 0.000 3.146
3.146 3.146 0.000
Lu Be W
1 1 1
Direct
0.000 0.000 0.000 Lu
0.500 0.500 0.500 Be
0.750 0.750 0.750 W
```

polymorph energy (0 for the lowest one)	0	meV per atom
E	-17.075	eV per cell
crystal system	cubic

=====

6.
Computed, not measured: an optimized crystal structure of KHoNO at the PBE-GGA level of DFT.

Structure (POSCAR):
```
KHoNO
1.0
8.728 0.000 0.000
0.000 7.523 0.000
0.000 0.000 4.885
K Ho N O
4 4 4 4
Direct
0.107 0.111 0.250 K
0.107 0.389 0.750 K
0.893 0.611 0.250 K
0.893 0.889 0.750 K
0.381 0.588 0.250 Ho
0.381 0.912 0.750 Ho
0.619 0.088 0.250 Ho
0.619 0.412 0.750 Ho
0.413 0.609 0.750 N
0.413 0.891 0.250 N
0.587 0.109 0.750 N
0.587 0.391 0.250 N
0.172 0.030 0.750 O
0.172 0.470 0.250 O
0.828 0.530 0.750 O
0.828 0.970 0.250 O
```

polymorph energy (0 for the lowest one)	0	meV per atom
E	-96.832	eV per cell
crystal system	orthorhombic

=====

7.
Computed, not measured: an optimized crystal structure of CsReIr at the PBE-GGA level of DFT.

Structure (POSCAR):
```
CsReIr
1.0
0.000 3.319 3.319
3.319 0.000 3.319
3.319 3.319 0.000
Cs Re Ir
1 1 1
Direct
0.000 0.000 0.000 Cs
0.500 0.500 0.500 Re
0.250 0.250 0.250 Ir
```

E	-14.907	eV per cell
crystal system	cubic

=====

8.
Computed, not measured: an optimized crystal structure of NpNi3 at the PBE-GGA level of DFT.

Structure (POSCAR):
```
NpNi3
1.0
0.000 3.032 3.032
3.032 0.000 3.032
3.032 3.032 0.000
Np Ni
1 3
Direct
0.000 0.000 0.000 Np
0.250 0.250 0.250 Ni
0.500 0.500 0.500 Ni
0.750 0.750 0.750 Ni
```

formation energy from the elements	0.0576	eV/atom
E	-29.242	eV per cell
crystal system	cubic

=====

9.
Computed, not measured: an optimized crystal structure of Hf2ZrPb at the PBE-GGA level of DFT.

Structure (POSCAR):
```
Hf2ZrPb
1.0
0.000 3.558 3.558
3.558 0.000 3.558
3.558 3.558 0.000
Hf Zr Pb
2 1 1
Direct
0.000 0.000 0.000 Hf
0.250 0.250 0.250 Hf
0.750 0.750 0.750 Zr
0.500 0.500 0.500 Pb
```

E	-31.648	eV per cell
crystal system	cubic

=====

10.
Computed, not measured: an optimized crystal structure of LiNdP4N8 at the PBE-GGA level of DFT.

Structure (POSCAR):
```
LiNdP4N8
1.0
8.719 0.000 0.000
0.000 7.875 0.000
0.000 0.000 9.116
Li Nd P N
4 4 16 32
Direct
0.054 0.250 0.068 Li
0.446 0.750 0.568 Li
0.554 0.250 0.432 Li
0.946 0.750 0.932 Li
0.087 0.750 0.586 Nd
0.413 0.250 0.086 Nd
0.587 0.750 0.914 Nd
0.913 0.250 0.414 Nd
0.069 0.563 0.191 P
0.069 0.937 0.191 P
0.230 0.559 0.919 P
0.230 0.941 0.919 P
0.270 0.059 0.419 P
0.270 0.441 0.419 P
0.431 0.063 0.691 P
0.431 0.437 0.691 P
0.569 0.563 0.309 P
0.569 0.937 0.309 P
0.730 0.559 0.581 P
0.730 0.941 0.581 P
0.770 0.059 0.081 P
0.770 0.441 0.081 P
0.931 0.063 0.809 P
0.931 0.437 0.809 P
0.021 0.750 0.138 N
0.078 0.567 0.817 N
0.078 0.933 0.817 N
0.128 0.559 0.361 N
0.128 0.941 0.361 N
0.196 0.250 0.422 N
0.198 0.026 0.080 N
0.198 0.474 0.080 N
0.302 0.526 0.580 N
0.302 0.974 0.580 N
0.304 0.750 0.922 N
0.372 0.059 0.861 N
0.372 0.441 0.861 N
0.422 0.067 0.317 N
0.422 0.433 0.317 N
0.479 0.250 0.638 N
0.521 0.750 0.362 N
0.578 0.567 0.683 N
0.578 0.933 0.683 N
0.628 0.559 0.139 N
0.628 0.941 0.139 N
0.696 0.250 0.078 N
0.698 0.026 0.420 N
0.698 0.474 0.420 N
0.802 0.526 0.920 N
0.802 0.974 0.920 N
0.804 0.750 0.578 N
0.872 0.059 0.639 N
0.872 0.441 0.639 N
0.922 0.067 0.183 N
0.922 0.433 0.183 N
0.979 0.250 0.862 N
```

E	-426.225	eV per cell
crystal system	orthorhombic

=====

11.
Computed, not measured: an optimized crystal structure of SrCu4N2 at the PBE-GGA level of DFT.

Structure (POSCAR):
```
SrCu4N2
1.0
-2.688 2.688 6.270
2.688 -2.688 6.270
2.688 2.688 -6.270
Sr Cu N
2 8 4
Direct
0.375 0.625 0.750 Sr
0.625 0.375 0.250 Sr
0.179 0.190 0.989 Cu
0.190 0.179 0.489 Cu
0.190 0.701 0.011 Cu
0.299 0.810 0.489 Cu
0.701 0.190 0.511 Cu
0.810 0.299 0.989 Cu
0.810 0.821 0.511 Cu
0.821 0.810 0.011 Cu
0.074 0.324 0.750 N
0.324 0.074 0.250 N
0.676 0.926 0.750 N
0.926 0.676 0.250 N
```

E	-61.811	eV per cell
crystal system	tetragonal

=====

12.
Computed, not measured: an optimized crystal structure of BaTmAuSe3 at the PBE-GGA level of DFT.

Structure (POSCAR):
```
BaTmAuSe3
1.0
9.199 -2.079 0.000
9.199 2.079 0.000
-1.536 0.000 8.540
Ba Tm Au Se
2 2 2 6
Direct
0.131 0.131 0.080 Ba
0.869 0.869 0.920 Ba
0.164 0.164 0.587 Tm
0.836 0.836 0.413 Tm
0.459 0.459 0.288 Au
0.541 0.541 0.712 Au
0.000 0.000 0.500 Se
0.316 0.316 0.183 Se
0.323 0.323 0.627 Se
0.500 0.500 0.000 Se
0.677 0.677 0.373 Se
0.684 0.684 0.817 Se
```

E	-57.420	eV per cell
crystal system	monoclinic